First-principles (GGA+U) data for a relaxed structure of VInCuF6, as listed in Alexandria via LeMat-Bulk.

Lattice parameters (Å, degrees): 5.9308 5.9308 8.4352 90.00 90.00 120.00
Closest atoms and distances in Å follow each position.
Atoms (fractional coordinates):
V 0.3333 0.6667 0.2500  6 F 1.93
V 0.6667 0.3333 0.7500  6 F 1.93
In 0.6667 0.3333 0.2500  6 F 2.63
In 0.3333 0.6667 0.7500  6 F 2.63
Cu 0.0000 0.0000 0.0000  6 F 2.27
Cu 0.0000 0.0000 0.5000  6 F 2.27
F 0.6204 0.7105 0.1199  1 V 1.93
F 0.0901 0.3796 0.1199  1 V 1.93
F 0.3796 0.0901 0.6199  1 V 1.93
F 0.9099 0.6204 0.8801  1 V 1.93
F 0.2895 0.3796 0.3801  1 V 1.93
F 0.0901 0.7105 0.3801  1 V 1.93
F 0.7105 0.0901 0.8801  1 V 1.93
F 0.6204 0.9099 0.3801  1 V 1.93
F 0.9099 0.2895 0.6199  1 V 1.93
F 0.2895 0.9099 0.1199  1 V 1.93
F 0.7105 0.6204 0.6199  1 V 1.93
F 0.3796 0.2895 0.8801  1 V 1.93

Crystal system: trigonal
Calculated volume in Å³/f.u.: 128
Raw total energy in eV/atom: -4.866
Space group: P-31c